1.
# TeP2Cl, PBEsol geometry, DFT SCAN
data_TeP2Cl
_chemical_formula_sum 'Te1 P2 Cl1'
_space_group_name_H-M_alt 'P 4/m m m'
_space_group_IT_number 123
_space_group_name_Hall '-P 4 2'
_cell_length_a 3.7269
_cell_length_b 3.7269
_cell_length_c 6.3200
_cell_angle_alpha 90.00
_cell_angle_beta 90.00
_cell_angle_gamma 90.00
loop_
_atom_site_label
_atom_site_type_symbol
_atom_site_fract_x
_atom_site_fract_y
_atom_site_fract_z
Te1 Te 0.0000 0.0000 0.0000
P1 P 0.5000 0.5000 0.1749
Cl1 Cl 0.0000 0.0000 0.5000
# E_form (uncorrected), eV per formula unit: 1.79
# Crystal system: tetragonal
# Polymorph energy (0 for the lowest one), meV/atom: 0
# Volume, Å³ per cell: 87.8
# Total DFT energy (no corrections), eV/atom: -16.06

2.
# Li3PbSe, PBEsol geometry, DFT SCAN
data_Li3PbSe
_chemical_formula_sum 'Li3 Pb1 Se1'
_space_group_name_H-M_alt 'P m -3 m'
_space_group_IT_number 221
_space_group_name_Hall '-P 4 2 3'
_cell_length_a 4.7746
_cell_length_b 4.7746
_cell_length_c 4.7746
_cell_angle_alpha 90.00
_cell_angle_beta 90.00
_cell_angle_gamma 90.00
loop_
_atom_site_label
_atom_site_type_symbol
_atom_site_fract_x
_atom_site_fract_y
_atom_site_fract_z
Li1 Li 0.0000 0.0000 0.5000
Pb1 Pb 0.5000 0.5000 0.5000
Se1 Se 0.0000 0.0000 0.0000
# E_form (uncorrected), eV per formula unit: -3.08
# Crystal system: cubic
# Volume, Å³ per cell: 108.8
# Total DFT energy (no corrections), eV/atom: -21.22

3.
# ZrScPb3, PBEsol geometry, DFT SCAN
data_ZrScPb3
_chemical_formula_sum 'Zr1 Sc1 Pb3'
_space_group_name_H-M_alt 'P m -3 m'
_space_group_IT_number 221
_space_group_name_Hall '-P 4 2 3'
_cell_length_a 5.4997
_cell_length_b 5.4997
_cell_length_c 5.4997
_cell_angle_alpha 90.00
_cell_angle_beta 90.00
_cell_angle_gamma 90.00
loop_
_atom_site_label
_atom_site_type_symbol
_atom_site_fract_x
_atom_site_fract_y
_atom_site_fract_z
Zr1 Zr 0.0000 0.0000 0.0000
Sc1 Sc 0.5000 0.5000 0.5000
Pb1 Pb 0.0000 0.0000 0.5000
# Energy of formation, meV per atom: 364
# Crystal system: cubic
# Volume, Å³ per cell: 166.3
# Total DFT energy (no corrections), eV/atom: -54.09

4.
# K2SrBr, PBEsol geometry, DFT SCAN
data_K2SrBr
_chemical_formula_sum 'K2 Sr1 Br1'
_space_group_name_H-M_alt 'P 4 m m'
_space_group_IT_number 99
_space_group_name_Hall 'P 4 -2'
_cell_length_a 4.0084
_cell_length_b 4.0084
_cell_length_c 11.4584
_cell_angle_alpha 90.00
_cell_angle_beta 90.00
_cell_angle_gamma 90.00
loop_
_atom_site_label
_atom_site_type_symbol
_atom_site_fract_x
_atom_site_fract_y
_atom_site_fract_z
K1 K 0.0000 0.0000 0.0000
K2 K 0.5000 0.5000 0.3284
Sr1 Sr 0.0000 0.0000 0.6283
Br1 Br 0.5000 0.5000 0.8037
# E_form (uncorrected), eV per formula unit: -2.97
# Crystal system: tetragonal
# Polymorph energy (0 for the lowest one), meV/atom: 108
# Volume, Å³ per cell: 184.1
# Total DFT energy (no corrections), eV/atom: -15.34

5.
# NaYMn2Cu, PBEsol geometry, DFT SCAN
data_NaYMn2Cu
_chemical_formula_sum 'Na1 Y1 Mn2 Cu1'
_space_group_name_H-M_alt 'P 4/m m m'
_space_group_IT_number 123
_space_group_name_Hall '-P 4 2'
_cell_length_a 4.6558
_cell_length_b 4.6558
_cell_length_c 5.2166
_cell_angle_alpha 90.00
_cell_angle_beta 90.00
_cell_angle_gamma 90.00
loop_
_atom_site_label
_atom_site_type_symbol
_atom_site_fract_x
_atom_site_fract_y
_atom_site_fract_z
Na1 Na 0.0000 0.0000 0.0000
Y1 Y 0.0000 0.0000 0.5000
Mn1 Mn 0.0000 0.5000 0.0000
Cu1 Cu 0.5000 0.5000 0.5000
# Energy of formation, meV per atom: 1364
# Crystal system: tetragonal
# Volume, Å³ per cell: 113.1
# Total DFT energy (no corrections), eV/atom: -15.39

6.
# CaY2Be, PBEsol geometry, DFT SCAN
data_CaY2Be
_chemical_formula_sum 'Ca4 Y8 Be4'
_space_group_name_H-M_alt 'F -4 3 m'
_space_group_IT_number 216
_space_group_name_Hall 'F -4 2 3'
_cell_length_a 7.4583
_cell_length_b 7.4583
_cell_length_c 7.4583
_cell_angle_alpha 90.00
_cell_angle_beta 90.00
_cell_angle_gamma 90.00
loop_
_atom_site_label
_atom_site_type_symbol
_atom_site_fract_x
_atom_site_fract_y
_atom_site_fract_z
Ca1 Ca 0.0000 0.0000 0.0000
Y1 Y 0.0000 0.0000 0.5000
Y2 Y 0.2500 0.2500 0.7500
Be1 Be 0.2500 0.2500 0.2500
# Energy of formation, meV per atom: 482
# Crystal system: cubic
# Volume, Å³ per cell: 414.9
# Total DFT energy (no corrections), eV/atom: -16.94

7.
# WBr3, PBEsol geometry, DFT SCAN
data_WBr3
_chemical_formula_sum 'W3 Br9'
_space_group_name_H-M_alt 'R -3 m'
_space_group_IT_number 166
_space_group_name_Hall '-R 3 2"'
_cell_length_a 3.2246
_cell_length_b 3.2246
_cell_length_c 28.7761
_cell_angle_alpha 90.00
_cell_angle_beta 90.00
_cell_angle_gamma 120.00
loop_
_atom_site_label
_atom_site_type_symbol
_atom_site_fract_x
_atom_site_fract_y
_atom_site_fract_z
W1 W 0.0000 0.0000 0.0000
Br1 Br 0.0000 0.0000 0.2703
Br2 Br 0.0000 0.0000 0.5000
# E_form (uncorrected), eV per formula unit: 1.09
# Crystal system: trigonal
# Polymorph energy (0 for the lowest one), meV/atom: 322
# Volume, Å³ per cell: 259.1
# Total DFT energy (no corrections), eV/atom: -31.74

8.
# In2MoP, PBEsol geometry, DFT SCAN
data_In2MoP
_chemical_formula_sum 'In2 Mo1 P1'
_space_group_name_H-M_alt 'P 4/m m m'
_space_group_IT_number 123
_space_group_name_Hall '-P 4 2'
_cell_length_a 3.6661
_cell_length_b 3.6661
_cell_length_c 5.3262
_cell_angle_alpha 90.00
_cell_angle_beta 90.00
_cell_angle_gamma 90.00
loop_
_atom_site_label
_atom_site_type_symbol
_atom_site_fract_x
_atom_site_fract_y
_atom_site_fract_z
In1 In 0.0000 0.0000 0.2497
Mo1 Mo 0.5000 0.5000 0.0000
P1 P 0.5000 0.5000 0.5000
# Energy of formation, meV per atom: 406
# Crystal system: tetragonal
# Volume, Å³ per cell: 71.6
# Total DFT energy (no corrections), eV/atom: -27.61

9.
# ZnH2SeBr, PBEsol geometry, DFT SCAN
data_ZnH2SeBr
_chemical_formula_sum 'Zn1 H2 Se1 Br1'
_space_group_name_H-M_alt 'P 4/m m m'
_space_group_IT_number 123
_space_group_name_Hall '-P 4 2'
_cell_length_a 3.7132
_cell_length_b 3.7132
_cell_length_c 5.8139
_cell_angle_alpha 90.00
_cell_angle_beta 90.00
_cell_angle_gamma 90.00
loop_
_atom_site_label
_atom_site_type_symbol
_atom_site_fract_x
_atom_site_fract_y
_atom_site_fract_z
Zn1 Zn 0.0000 0.0000 0.0000
H1 H 0.0000 0.5000 0.0000
Se1 Se 0.5000 0.5000 0.5000
Br1 Br 0.0000 0.0000 0.5000
# Crystal system: tetragonal
# Volume, Å³ per cell: 80.2
# Total DFT energy (no corrections), eV/atom: -11.56

10.
# BeAs2W, PBEsol geometry, DFT SCAN
data_BeAs2W
_chemical_formula_sum 'Be2 As4 W2'
_space_group_name_H-M_alt 'C 1 2/m 1'
_space_group_IT_number 12
_space_group_name_Hall '-C 2y'
_cell_length_a 8.4976
_cell_length_b 3.0157
_cell_length_c 4.5865
_cell_angle_alpha 90.00
_cell_angle_beta 93.36
_cell_angle_gamma 90.00
loop_
_atom_site_label
_atom_site_type_symbol
_atom_site_fract_x
_atom_site_fract_y
_atom_site_fract_z
Be1 Be 0.0000 0.0000 0.0000
As1 As 0.2235 0.0000 0.7419
W1 W 0.0000 0.5000 0.5000
# Energy of formation, meV per atom: 382
# Crystal system: monoclinic
# Volume, Å³ per cell: 117.3
# Total DFT energy (no corrections), eV/atom: -28.22

11.
# LiCd2Ga2, PBEsol geometry, DFT SCAN
data_LiCd2Ga2
_chemical_formula_sum 'Li2 Cd4 Ga4'
_space_group_name_H-M_alt 'I 4/m m m'
_space_group_IT_number 139
_space_group_name_Hall '-I 4 2'
_cell_length_a 3.8618
_cell_length_b 3.8618
_cell_length_c 13.4886
_cell_angle_alpha 90.00
_cell_angle_beta 90.00
_cell_angle_gamma 90.00
loop_
_atom_site_label
_atom_site_type_symbol
_atom_site_fract_x
_atom_site_fract_y
_atom_site_fract_z
Li1 Li 0.0000 0.0000 0.0000
Cd1 Cd 0.0000 0.0000 0.3998
Ga1 Ga 0.0000 0.5000 0.2500
# Energy of formation, meV per atom: -66
# Crystal system: tetragonal
# Volume, Å³ per cell: 201.2
# Total DFT energy (no corrections), eV/atom: -19.25

12.
# La3MnOs, PBEsol geometry, DFT SCAN
data_La3MnOs
_chemical_formula_sum 'La3 Mn1 Os1'
_space_group_name_H-M_alt 'P m -3 m'
_space_group_IT_number 221
_space_group_name_Hall '-P 4 2 3'
_cell_length_a 4.9450
_cell_length_b 4.9450
_cell_length_c 4.9450
_cell_angle_alpha 90.00
_cell_angle_beta 90.00
_cell_angle_gamma 90.00
loop_
_atom_site_label
_atom_site_type_symbol
_atom_site_fract_x
_atom_site_fract_y
_atom_site_fract_z
La1 La 0.0000 0.0000 0.5000
Mn1 Mn 0.0000 0.0000 0.0000
Os1 Os 0.5000 0.5000 0.5000
# Energy of formation, meV per atom: 637
# Crystal system: cubic
# Volume, Å³ per cell: 120.9
# Total DFT energy (no corrections), eV/atom: -43.25